Version w
First-principles (PBE) data for crystalline KAl2Cd2 at its relaxed geometry, as listed in Alexandria via LeMat-Bulk.

Properties
**Space group**: No. 127
**Density of states at the Fermi level**: 4.54 states/eV/cell

Cell: 8.9684 8.9684 2.9870 Å, 90.00 90.00 90.00°
Fractional positions:
Cd 0.6440 0.1440 0.0000
Cd 0.1440 0.3560 0.0000
Cd 0.8560 0.6440 0.0000
Cd 0.3560 0.8560 0.0000
K 0.0000 0.0000 0.0000
Al 0.6481 0.8519 0.5000
Al 0.8519 0.3519 0.5000
Al 0.3519 0.1481 0.5000
K 0.5000 0.5000 0.0000
Al 0.1481 0.6481 0.5000


Version x
First-principles (PBE) data for crystalline KAl2Cd2 at its relaxed geometry, as listed in Alexandria via LeMat-Bulk.

Properties
**Space group**: No. 139
**Density of states at the Fermi level**: 2.49 states/eV/cell

Cell: 4.4691 4.4691 7.1454 Å, 71.78 71.78 90.00°
Fractional positions:
Al 0.7500 0.2500 0.5000
Cd 0.3859 0.3859 0.2283
K 0.0000 0.0000 0.0000
Cd 0.6141 0.6141 0.7717
Al 0.2500 0.7500 0.5000


Version y
First-principles (PBE) data for crystalline KAl2Cd2 at its relaxed geometry, as listed in Alexandria via LeMat-Bulk.

Properties
**Space group**: No. 127
**Density of states at the Fermi level**: 3.16 states/eV/cell

Cell: 8.9418 8.9418 2.9847 Å, 90.00 90.00 90.00°
Fractional positions:
Al 0.8677 0.6323 0.0000
Cd 0.3418 0.1582 0.5000
K 0.0000 0.0000 0.0000
Cd 0.1582 0.6582 0.5000
Al 0.1323 0.3677 0.0000
Al 0.3677 0.8677 0.0000
Al 0.6323 0.1323 0.0000
Cd 0.8418 0.3418 0.5000
Cd 0.6582 0.8418 0.5000
K 0.5000 0.5000 0.0000


The computed energies, referenced to the most stable structure and given in eV/atom, are version w 0.040; version x 0.000; version y 0.033.


Version w
First-principles (PBE) data for crystalline KAl3Cd at its relaxed geometry, as listed in Alexandria via LeMat-Bulk.

Properties
**Space group**: No. 221
**Density of states at the Fermi level**: 3.07 states/eV/cell

Cell: 5.3307 5.3307 5.3307 Å, 90.00 90.00 90.00°
Fractional positions:
Cd 0.0000 0.0000 0.0000
Al 0.0000 0.5000 0.0000
Al 0.0000 0.0000 0.5000
K 0.5000 0.5000 0.5000
Al 0.5000 0.0000 0.0000


Version x
First-principles (PBE) data for crystalline KAl3Cd at its relaxed geometry, as listed in Alexandria via LeMat-Bulk.

Properties
**Space group**: No. 221
**Density of states at the Fermi level**: 5.44 states/eV/cell

Cell: 5.8302 5.8302 5.8302 Å, 90.00 90.00 90.00°
Fractional positions:
Al 0.0000 0.0000 0.5000
Cd 0.5000 0.5000 0.5000
K 0.0000 0.0000 0.0000
Al 0.0000 0.5000 0.0000
Al 0.5000 0.0000 0.0000


The computed energies, referenced to the most stable structure and given in eV/atom, are version w 0.000; version x 0.890.


Version w
First-principles (PBE) data for crystalline KNa2AlCd at its relaxed geometry, as listed in Alexandria via LeMat-Bulk.

Properties
**Space group**: No. 123
**Density of states at the Fermi level**: 1.82 states/eV/cell

Cell: 5.9452 5.9452 5.1658 Å, 90.00 90.00 90.00°
Fractional positions:
Cd 0.0000 0.0000 0.5000
Al 0.0000 0.0000 0.0000
Na 0.5000 0.0000 0.0000
K 0.5000 0.5000 0.5000
Na 0.0000 0.5000 0.0000


Version x
First-principles (PBE) data for crystalline KNa2AlCd at its relaxed geometry, as listed in Alexandria via LeMat-Bulk.

Properties
**Space group**: No. 123
**Density of states at the Fermi level**: 1.52 states/eV/cell

Cell: 5.9494 5.9494 5.0960 Å, 90.00 90.00 90.00°
Fractional positions:
Cd 0.0000 0.0000 0.0000
K 0.5000 0.5000 0.5000
Al 0.0000 0.0000 0.5000
Na 0.0000 0.5000 0.0000
Na 0.5000 0.0000 0.0000


The computed energies, referenced to the most stable structure and given in eV/atom, are version w 0.000; version x 0.022.